Record 1
Compound: ZnSbNO
Source: the Open Quantum Materials Database
Functional: PBE
Structure: relaxed

Output
symmetry: Pmc2_1
energy above the most stable polymorph in this dataset: 0.012 eV/atom
volume: 118.8 Å³ per cell
electronic total energy: -0.3804 Ry per atom

Geometry as POSCAR:
```
ZnSbNO
1.0
3.302 0.000 0.000
0.000 5.398 0.000
0.000 0.000 6.664
N O Sb Zn
2 2 2 2
direct
0.000 0.880 0.324
0.000 0.380 0.676
0.500 0.340 0.304
0.500 0.840 0.696
0.500 0.016 0.163
0.500 0.516 0.837
0.000 0.519 0.390
0.000 0.019 0.610
```

Record 2
Compound: LaHfMgIr
Source: the Open Quantum Materials Database
Functional: PBE
Structure: relaxed

Output
symmetry: F-43m
energy above the most stable polymorph in this dataset: 0.165 eV/atom
M_tot: 0.00 Bohr magnetons per cell
volume: 82.8 Å³ per cell
electronic total energy: -0.4649 Ry per atom

Geometry as POSCAR:
```
LaHfMgIr
1.0
0.000 3.459 3.459
3.459 0.000 3.459
3.459 3.459 0.000
Hf Ir La Mg
1 1 1 1
direct
0.500 0.500 0.500
0.000 0.000 0.000
0.250 0.250 0.250
0.750 0.750 0.750
```